GGA-PBE KTaTe, optimized geometry; M_tot = 0.000 μB per atom; calculated total energy = -5.0114 eV/atom; formation energy (no corrections) = 353 meV per atom; density = 6.80 g/cm3; volume = 28.30 A^3/atom; energy above the lowest structure with this stoichiometry = 0.0 meV/atom
1.0
3.512 0.000 0.000
-1.756 3.041 0.000
0.000 0.000 7.948
K Ta Te
1 1 1
Cartesian
0.000 0.000 0.000
1.756 1.014 3.139
0.000 2.028 5.003